Record 1
First-principles (PBE) data for a relaxed Na2ZrTeW crystal, as listed in the Alexandria database.

* magnetization: 0.16 μB per atom
* formation energy without anion corrections: 7.2 eV per formula unit
* final energy: -20.076 eV/cell

Structure (POSCAR):
```
Na2ZrTeW
1.0
5.7624 0.0000 0.0000
0.0000 4.8173 0.0000
0.0000 0.0000 5.7624
Na Te Zr W
2 1 1 1
Cartesian
0.0000 0.0000 2.8812
2.8812 0.0000 0.0000
2.8812 2.4087 2.8812
0.0000 0.0000 0.0000
0.0000 2.4087 0.0000
```

---

Record 2
First-principles (PBE) data for a relaxed Y2MgSb2 crystal, as listed in the Alexandria database.

* relative energy among the computed polymorphs: 182.0 meV per atom
* magnetization: 0.00 μB per atom
* formation energy without anion corrections: -3.3 eV per formula unit
* final energy: -52.063 eV/cell

Structure (POSCAR):
```
Y2MgSb2
1.0
-6.7422 -3.2409 3.8451
4.5176 -1.0784 7.0124
-1.0488 3.6496 1.2370
Y Sb Mg
4 4 2
Cartesian
1.4669 -2.0768 7.3712
-2.8617 -3.4686 7.8075
-3.6915 -2.2425 3.4863
0.6371 -0.8507 3.0500
1.3791 0.5957 5.8588
-1.1763 -1.2194 9.0476
-4.6525 -1.2654 6.2357
-2.0972 0.5497 3.0469
0.0000 0.0000 0.0000
-1.1123 -2.1596 5.4288
```

---

Record 3
First-principles (PBE) data for a relaxed BeTeAu3 crystal, as listed in the Alexandria database.

* relative energy among the computed polymorphs: 0.0 meV per atom
* magnetization: 0.00 μB per atom
* formation energy without anion corrections: 1.3 eV per formula unit
* final energy: -15.442 eV/cell

Structure (POSCAR):
```
BeTeAu3
1.0
-4.3001 -0.3796 -1.5629
1.3655 -3.2190 -2.9751
-0.8499 -3.2514 3.1279
Be Te Au
1 1 3
Cartesian
0.0000 0.0000 0.0000
-1.8922 -3.4250 -0.7051
0.6828 -1.6095 -1.4875
-0.4249 -1.6257 1.5639
-2.1500 -0.1898 -0.7815
```

---

- Number 3 is which compound?
  BeTeAu3

---

- Which value of magnetization does entry 2 give?
  0.00 μB per atom

---

- Among the records above, which one has the highest final energy?
  BeTeAu3